(1)
# K2AcErSe4 | Alexandria | GGA-PBE | optimized geometry
# density of states at the Fermi level	0.00	states/eV/cell
# raw total energy	-4.863	eV/atom
# magnetic moment	0.0	Bohr magnetons per cell
data_K2AcErSe4
_chemical_formula_sum 'K2 Ac1 Er1 Se4'
_space_group_name_H-M_alt 'P 1 2/m 1'
_space_group_IT_number 10
_cell_length_a 7.604
_cell_length_b 4.380
_cell_length_c 8.121
_cell_angle_alpha 90.00
_cell_angle_beta 108.09
_cell_angle_gamma 90.00
loop_
_space_group_symop_operation_xyz
'x,y,z'
'-x,-y,-z'
'-x,y,-z'
'x,-y,z'
loop_
_atom_site_label
_atom_site_type_symbol
_atom_site_fract_x
_atom_site_fract_y
_atom_site_fract_z
K1 K 0.000 0.000 0.000
K2 K 0.500 0.500 0.000
Ac1 Ac 0.000 0.500 0.500
Er1 Er 0.500 0.000 0.500
Se1 Se 0.258 0.000 0.714
Se2 Se 0.282 0.500 0.294

(2)
# K3Ac3ErTe8 | Alexandria | GGA-PBE | optimized geometry
# density of states at the Fermi level	27.75	states/eV/cell
# raw total energy	-4.383	eV/atom
# magnetic moment	0.0	Bohr magnetons per cell
data_K3Ac3ErTe8
_chemical_formula_sum 'K6 Ac6 Er2 Te16'
_space_group_name_H-M_alt 'C 1 2/m 1'
_space_group_IT_number 12
_cell_length_a 16.454
_cell_length_b 9.485
_cell_length_c 10.024
_cell_angle_alpha 90.00
_cell_angle_beta 123.26
_cell_angle_gamma 90.00
loop_
_space_group_symop_operation_xyz
'x,y,z'
'-x,-y,-z'
'-x,y,-z'
'x,-y,z'
'x+1/2,y+1/2,z'
'-x+1/2,-y+1/2,-z'
'-x+1/2,y+1/2,-z'
'x+1/2,-y+1/2,z'
loop_
_atom_site_label
_atom_site_type_symbol
_atom_site_fract_x
_atom_site_fract_y
_atom_site_fract_z
K1 K 0.000 0.000 0.000
K2 K 0.250 0.250 0.000
Ac1 Ac 0.000 0.500 0.500
Ac2 Ac 0.250 0.250 0.500
Er1 Er 0.000 0.000 0.500
Te1 Te 0.008 0.234 0.290
Te2 Te 0.226 0.000 0.710
Te3 Te 0.242 0.500 0.726

(3)
# K3AcEr2Te6 | Alexandria | GGA-PBE | optimized geometry
# density of states at the Fermi level	0.00	states/eV/cell
# raw total energy	-4.357	eV/atom
# magnetic moment	0.0	Bohr magnetons per cell
data_K3AcEr2Te6
_chemical_formula_sum 'K6 Ac2 Er4 Te12'
_space_group_name_H-M_alt 'C 1 2/m 1'
_space_group_IT_number 12
_cell_length_a 7.963
_cell_length_b 13.800
_cell_length_c 8.679
_cell_angle_alpha 90.00
_cell_angle_beta 107.92
_cell_angle_gamma 90.00
loop_
_space_group_symop_operation_xyz
'x,y,z'
'-x,-y,-z'
'-x,y,-z'
'x,-y,z'
'x+1/2,y+1/2,z'
'-x+1/2,-y+1/2,-z'
'-x+1/2,y+1/2,-z'
'x+1/2,-y+1/2,z'
loop_
_atom_site_label
_atom_site_type_symbol
_atom_site_fract_x
_atom_site_fract_y
_atom_site_fract_z
K1 K 0.000 0.000 0.000
K2 K 0.000 0.338 0.000
Ac1 Ac 0.000 0.500 0.500
Er1 Er 0.000 0.167 0.500
Te1 Te 0.217 0.000 0.710
Te2 Te 0.248 0.323 0.712

(4)
# K4Ac3ErTe8 | Alexandria | GGA-PBE | optimized geometry
# density of states at the Fermi level	0.00	states/eV/cell
# raw total energy	-4.356	eV/atom
# magnetic moment	0.0	Bohr magnetons per cell
data_K4Ac3ErTe8
_chemical_formula_sum 'K12 Ac9 Er3 Te24'
_space_group_name_H-M_alt 'R -3 m'
_space_group_IT_number 166
_space_group_name_Hall '-R 3 2"'
_cell_length_a 9.5092
_cell_length_b 9.5092
_cell_length_c 24.8414
_cell_angle_alpha 90.00
_cell_angle_beta 90.00
_cell_angle_gamma 120.00
loop_
_atom_site_label
_atom_site_type_symbol
_atom_site_fract_x
_atom_site_fract_y
_atom_site_fract_z
K1 K 0.0000 0.0000 0.0000
K2 K 0.0000 0.5000 0.0000
Ac1 Ac 0.0000 0.5000 0.5000
Er1 Er 0.0000 0.0000 0.5000
Te1 Te 0.0000 0.0000 0.2421
Te2 Te 0.0184 0.5092 0.2384